Material: NbPNCl2
Method: DFT, PBE
State: relaxed

Geometry as extended XYZ:
```
5
Lattice="-0.101 -2.454 3.412 3.405 -2.048 -1.373 2.579 2.859 2.133" Properties=species:S:1:pos:R:3 pbc="T T T"
P 1.290 1.429 1.066
Nb 2.942 -0.822 2.086
N 0.000 0.000 0.000
Cl 1.703 -1.024 -0.686
Cl -0.050 -1.227 1.706
```

Values from the calculation:
Formation energy without anion corrections = 5.560 eV per formula unit


Material: Dy4Al16Fe3
Method: DFT, PBE
State: relaxed

Geometry as extended XYZ:
```
23
Lattice="6.026 0.000 0.000 0.000 6.026 0.000 0.000 0.000 11.224" Properties=species:S:1:pos:R:3 pbc="T T T"
Dy 3.013 0.000 9.071
Dy 0.000 3.013 2.153
Dy 0.000 3.013 9.071
Dy 3.013 0.000 2.153
Al 0.000 0.000 8.847
Al 1.660 1.660 0.000
Al 3.013 3.013 9.033
Al 4.366 1.660 0.000
Al 3.013 3.013 2.192
Al 4.366 4.366 0.000
Al 0.000 0.000 2.377
Al 4.528 4.528 6.897
Al 4.528 1.498 4.327
Al 1.498 1.498 6.897
Al 1.498 4.528 4.327
Al 1.660 4.366 0.000
Al 4.528 4.528 4.327
Al 4.528 1.498 6.897
Al 1.498 1.498 4.327
Al 1.498 4.528 6.897
Fe 0.000 3.013 5.612
Fe 0.000 0.000 0.000
Fe 3.013 0.000 5.612
```

Values from the calculation:
Calculated formation energy = -9.448 eV per formula unit


Magnetic moment, record by record: 1.99 0.85 μB/cell